VASP calculation (meta-GGA SCAN) on a PBEsol-optimized structure of LiMg4V3O12.

Output
* energy relative to the elements, uncorrected: -2824 meV per atom
* electronic total energy: -10.30 eV/atom
* D(E_F): 0.000 states/eV per atom

CIF file:
```
data_LiMg4V3O12
_chemical_formula_sum 'Li4 Mg16 V12 O48'
_space_group_name_H-M_alt 'I -4 2 d'
_space_group_IT_number 122
_space_group_name_Hall 'I -4 2bw'
_cell_length_a 6.8583
_cell_length_b 6.8583
_cell_length_c 18.8206
_cell_angle_alpha 90.00
_cell_angle_beta 90.00
_cell_angle_gamma 90.00
loop_
_atom_site_label
_atom_site_type_symbol
_atom_site_fract_x
_atom_site_fract_y
_atom_site_fract_z
_atom_site_occupancy
Li1 Li 0.0000 0.0000 0.0000 1
Mg1 Mg 0.0000 0.0000 0.2752 1
Mg2 Mg 0.2434 0.2500 0.6250 1
V1 V 0.0000 0.0000 0.5000 1
V2 V 0.1489 0.7500 0.1250 1
O1 O 0.0105 0.2117 0.1946 1
O2 O 0.0419 0.2283 0.3515 1
O3 O 0.0518 0.2095 0.5458 1
```